[1]
# HfSc3As

HfSc3As after structural relaxation (PBE, Alexandria via LeMat-Bulk).

Cell lengths 5.036, 5.036, 5.036 Å; angles 90.00, 90.00, 90.00 degrees
Element x y z (fractional)
1 Hf 0.000 0.000 0.000
2 Sc 0.000 0.500 0.500
3 Sc 0.500 0.000 0.500
4 Sc 0.500 0.500 0.000
5 As 0.500 0.500 0.500

Values from the calculation:
Formation enthalpy at 0 K ... -0.16 eV per formula unit
Size of the total moment ... 2.926 μB/f.u.
Distance to the lowest polymorph of the same formula ... 0 meV per atom

=====

[2]
# Dy2Tm2Pb3

Dy2Tm2Pb3 after structural relaxation (PBE, Alexandria via LeMat-Bulk).

Cell lengths 6.683, 6.683, 6.353 Å; angles 92.70, 92.70, 46.54 degrees
Element x y z (fractional)
1 Dy 0.074 0.074 0.249
2 Dy 0.926 0.926 0.751
3 Tm 0.365 0.365 0.394
4 Tm 0.635 0.635 0.606
5 Pb 0.233 0.233 0.809
6 Pb 0.500 0.500 0.000
7 Pb 0.767 0.767 0.191

Values from the calculation:
Formation enthalpy at 0 K ... -1.98 eV per formula unit
Size of the total moment ... 0.000 μB/f.u.

=====

[3]
# Cd4CuPd3

Cd4CuPd3 after structural relaxation (PBE, Alexandria via LeMat-Bulk).

Cell lengths 4.346, 4.346, 7.982 Å; angles 105.71, 105.71, 89.98 degrees
Element x y z (fractional)
1 Cd 0.124 0.624 0.748
2 Cd 0.376 0.876 0.252
3 Cd 0.624 0.124 0.748
4 Cd 0.876 0.376 0.252
5 Cu 0.000 0.000 0.500
6 Pd 0.250 0.250 0.001
7 Pd 0.500 0.500 0.500
8 Pd 0.750 0.750 0.999

Values from the calculation:
Formation enthalpy at 0 K ... -2.25 eV per formula unit
Size of the total moment ... 0.000 μB/f.u.

=====

Look up the formation enthalpy at 0 K of the third one. -2.25 eV per formula unit